Compound: BeTlAs2
Source: Alexandria via LeMat-Bulk
Functional: PBEsol
Structure: optimized geometry

Calculated values
Offset from the most stable computed form   320.7 meV/atom
Energy of formation   0.667 eV per atom

Lattice parameters (Å, degrees): 4.7655 4.7655 4.7655 60.00 60.00 60.00
Fractional positions:
Be 0.0000 0.0000 0.0000
As 0.2500 0.2500 0.2500
As 0.7500 0.7500 0.7500
Tl 0.5000 0.5000 0.5000

Compound: LaSeN2F
Source: Alexandria via LeMat-Bulk
Functional: PBEsol
Structure: optimized geometry

Calculated values
Formation energy from raw total energies   0.2641 eV per atom

Lattice parameters (Å, degrees): 4.4157 4.7996 4.7996 90.00 90.00 90.00
Site moments in Bohr magnetons follow the coordinates.
Fractional positions:
La 0.0000 0.0000 0.0000  0.14
N 0.0000 0.5000 0.0000  1.02
N 0.0000 0.0000 0.5000  1.02
F 0.5000 0.0000 0.0000  0.00
Se 0.5000 0.5000 0.5000  -0.13

| no. | DFT total energy (eV/atom) |
| --- | --- |
| 1 | -3.54 |
| 2 | -5.37 |